A plane-wave DFT calculation with PBE was carried out for a relaxed EuCdSiHg crystal.

Values from the calculation:
Total DFT energy (no corrections) ... -4.44 eV per atom
DOS(E_F) ... 0.124 states/eV per atom
Density ... 8.66 Mg/m³

Lattice parameters (Å, degrees): 5.1134 5.1134 5.1134 60.00 60.00 60.00
Fractional positions:
Eu (0.0000, 0.0000, 0.0000)
Cd (0.5000, 0.5000, 0.5000)
Si (0.2500, 0.2500, 0.2500)
Hg (0.7500, 0.7500, 0.7500)

***

A plane-wave DFT calculation with PBE was carried out for a relaxed SmEuCdHg crystal.

Values from the calculation:
ΔH_f (0 K) ... -410 meV per atom
Total DFT energy (no corrections) ... -4.46 eV per atom
DOS(E_F) ... 2.060 states/eV per atom
Density ... 8.96 Mg/m³

Lattice parameters (Å, degrees): 5.4436 5.4436 5.4436 60.00 60.00 60.00
Fractional positions:
Sm (0.0000, 0.0000, 0.0000)
Eu (0.5000, 0.5000, 0.5000)
Cd (0.2500, 0.2500, 0.2500)
Hg (0.7500, 0.7500, 0.7500)

***

A plane-wave DFT calculation with PBE was carried out for a relaxed EuCdSnHg crystal.

Values from the calculation:
ΔH_f (0 K) ... -398 meV per atom
Total DFT energy (no corrections) ... -4.27 eV per atom
DOS(E_F) ... 0.934 states/eV per atom
Density ... 9.17 Mg/m³

Lattice parameters (Å, degrees): 5.3079 5.3079 5.3079 60.00 60.00 60.00
Fractional positions:
Eu (0.0000, 0.0000, 0.0000)
Cd (0.5000, 0.5000, 0.5000)
Sn (0.7500, 0.7500, 0.7500)
Hg (0.2500, 0.2500, 0.2500)

***

A plane-wave DFT calculation with PBE was carried out for a relaxed TbEuCdHg crystal.

Values from the calculation:
ΔH_f (0 K) ... -400 meV per atom
Total DFT energy (no corrections) ... -4.43 eV per atom
DOS(E_F) ... 1.865 states/eV per atom
Density ... 9.30 Mg/m³

Lattice parameters (Å, degrees): 5.4001 5.4001 5.4001 60.00 60.00 60.00
Fractional positions:
Tb (0.0000, 0.0000, 0.0000)
Eu (0.5000, 0.5000, 0.5000)
Cd (0.2500, 0.2500, 0.2500)
Hg (0.7500, 0.7500, 0.7500)

***

A plane-wave DFT calculation with PBE was carried out for a relaxed EuZnCdHg crystal.

Values from the calculation:
ΔH_f (0 K) ... -296 meV per atom
Total DFT energy (no corrections) ... -3.49 eV per atom
DOS(E_F) ... 2.426 states/eV per atom
Density ... 9.32 Mg/m³

Lattice parameters (Å, degrees): 5.1119 5.1119 5.1119 60.00 60.00 60.00
Fractional positions:
Eu (0.0000, 0.0000, 0.0000)
Zn (0.7500, 0.7500, 0.7500)
Cd (0.5000, 0.5000, 0.5000)
Hg (0.2500, 0.2500, 0.2500)

***

A plane-wave DFT calculation with PBE was carried out for a relaxed EuHo2Cd crystal.

Values from the calculation:
ΔH_f (0 K) ... -76 meV per atom
Total DFT energy (no corrections) ... -5.16 eV per atom
DOS(E_F) ... 1.338 states/eV per atom
Offset from the most stable computed form ... 0.0 kJ/mol of formula units
Density ... 7.99 Mg/m³

Lattice parameters (Å, degrees): 3.6725 3.6725 9.1582 90.00 90.00 90.00
Fractional positions:
Eu (0.0000, 0.0000, 0.0000)
Ho (0.5000, 0.5000, 0.2927)
Ho (0.5000, 0.5000, 0.7073)
Cd (0.0000, 0.0000, 0.5000)

***

A plane-wave DFT calculation with PBE was carried out for a relaxed EuHo2Cd crystal.

Values from the calculation:
ΔH_f (0 K) ... 10 meV per atom
Total DFT energy (no corrections) ... -5.08 eV per atom
DOS(E_F) ... 1.086 states/eV per atom
Offset from the most stable computed form ... 33.3 kJ/mol of formula units
Density ... 8.43 Mg/m³

Lattice parameters (Å, degrees): 5.4918 5.4918 5.4918 60.00 60.00 60.00
Fractional positions:
Eu (0.0000, 0.0000, 0.0000)
Ho (0.2500, 0.2500, 0.2500)
Ho (0.7500, 0.7500, 0.7500)
Cd (0.5000, 0.5000, 0.5000)

***

A plane-wave DFT calculation with PBE was carried out for a relaxed EuHo2Cd crystal.

Values from the calculation:
ΔH_f (0 K) ... 123 meV per atom
Total DFT energy (no corrections) ... -4.96 eV per atom
DOS(E_F) ... 1.380 states/eV per atom
Offset from the most stable computed form ... 76.7 kJ/mol of formula units
Density ... 7.71 Mg/m³

Lattice parameters (Å, degrees): 12.0484 12.0484 12.0484 16.83 16.83 16.83
Fractional positions:
Eu (0.0000, 0.0000, 0.0000)
Ho (0.0969, 0.0969, 0.0969)
Ho (0.9031, 0.9031, 0.9031)
Cd (0.5000, 0.5000, 0.5000)